# 1
# La3Nd4Tm5

A relaxed La3Nd4Tm5 crystal (PBE-GGA, Alexandria via LeMat-Bulk).

The structure in POSCAR format:
```
La3Nd4Tm5
1.0
6.261 0.000 0.000
0.001 7.227 0.000
0.002 0.031 8.873
La Nd Tm
3 4 5
direct
0.000 0.000 0.000
0.169 0.249 0.332
0.831 0.751 0.668
0.171 0.751 0.332
0.330 0.500 0.672
0.670 0.500 0.328
0.829 0.249 0.668
0.000 0.500 0.000
0.336 0.000 0.671
0.498 0.750 0.001
0.502 0.250 0.999
0.664 0.000 0.329
```

* E above lowest polymorph: 0 meV/atom
* electronic total energy: -4.660 eV/atom
* size of the total moment: 0.0 μB per formula unit

# 2
# Co2TcW

A relaxed Co2TcW crystal (PBE-GGA, Alexandria via LeMat-Bulk).

The structure in POSCAR format:
```
Co2TcW
1.0
2.641 0.000 0.000
0.000 4.222 0.000
0.000 0.000 4.573
Co Tc W
2 1 1
direct
0.000 0.000 0.000
0.000 0.500 0.327
0.500 0.500 0.850
0.500 0.000 0.492
```

* E above lowest polymorph: 0 meV/atom
* electronic total energy: -9.411 eV/atom
* size of the total moment: 0.0 μB per formula unit

# 3
# K3Tl6BiSb2

A relaxed K3Tl6BiSb2 crystal (PBE-GGA, Alexandria via LeMat-Bulk).

The structure in POSCAR format:
```
K3Tl6BiSb2
1.0
6.471 0.000 0.000
-3.236 5.604 0.000
0.000 0.000 12.599
K Tl Bi Sb
3 6 1 2
direct
0.000 0.000 0.000
0.333 0.667 0.546
0.667 0.333 0.454
0.168 0.336 0.266
0.168 0.832 0.266
0.336 0.168 0.734
0.664 0.832 0.266
0.832 0.168 0.734
0.832 0.664 0.734
0.000 0.000 0.500
0.333 0.667 0.827
0.667 0.333 0.173
```

* formation energy from raw total energies: -0.101 eV/atom
* electronic total energy: -2.569 eV/atom
* size of the total moment: 0.0 μB per formula unit

# 4
# Nd12Ir6Pb

A relaxed Nd12Ir6Pb crystal (PBE-GGA, Alexandria via LeMat-Bulk).

The structure in POSCAR format:
```
Nd12Ir6Pb
1.0
-5.158 5.158 5.158
5.158 -5.158 5.158
5.158 5.158 -5.158
Nd Ir Pb
12 6 1
direct
0.113 0.809 0.305
0.191 0.305 0.496
0.191 0.695 0.887
0.305 0.113 0.809
0.305 0.496 0.191
0.496 0.191 0.305
0.504 0.809 0.695
0.695 0.504 0.809
0.695 0.887 0.191
0.809 0.305 0.113
0.809 0.695 0.504
0.887 0.191 0.695
0.124 0.624 0.500
0.376 0.500 0.876
0.500 0.124 0.624
0.500 0.876 0.376
0.624 0.500 0.124
0.876 0.376 0.500
0.000 0.000 0.000
```

* electronic total energy: -6.511 eV/atom
* size of the total moment: 0.0 μB per formula unit

# 5
# Nd12AgSn6

A relaxed Nd12AgSn6 crystal (PBE-GGA, Alexandria via LeMat-Bulk).

The structure in POSCAR format:
```
Nd12AgSn6
1.0
6.894 3.980 4.205
-6.894 3.980 4.205
0.000 -7.960 4.205
Nd Ag Sn
12 1 6
direct
0.033 0.674 0.946
0.054 0.967 0.326
0.191 0.423 0.563
0.326 0.054 0.967
0.423 0.563 0.191
0.437 0.809 0.577
0.563 0.191 0.423
0.577 0.437 0.809
0.674 0.946 0.033
0.809 0.577 0.437
0.946 0.033 0.674
0.967 0.326 0.054
0.000 0.000 0.000
0.125 0.630 0.313
0.313 0.125 0.630
0.370 0.687 0.875
0.630 0.313 0.125
0.687 0.875 0.370
0.875 0.370 0.687
```

* electronic total energy: -4.756 eV/atom
* size of the total moment: 0.0 μB per formula unit

# 6
# NaTl2As

A relaxed NaTl2As crystal (PBE-GGA, Alexandria via LeMat-Bulk).

The structure in POSCAR format:
```
NaTl2As
1.0
4.694 0.000 0.000
0.000 4.694 0.000
0.000 0.000 4.726
Na Tl As
1 2 1
direct
0.000 0.000 0.000
0.000 0.500 0.500
0.500 0.000 0.500
0.500 0.500 0.000
```

* electronic total energy: -2.739 eV/atom
* size of the total moment: 0.0 μB per formula unit

# 7
# TeOsSe2

A relaxed TeOsSe2 crystal (PBE-GGA, Alexandria via LeMat-Bulk).

The structure in POSCAR format:
```
TeOsSe2
1.0
2.646 -4.495 0.000
2.646 4.495 0.000
0.000 0.000 3.624
Te Os Se
1 1 2
direct
0.000 0.000 0.000
0.500 0.500 0.000
0.309 0.691 0.500
0.691 0.309 0.500
```

* formation energy from raw total energies: 0.111 eV/atom
* electronic total energy: -5.225 eV/atom
* size of the total moment: 0.0 μB per formula unit

# 8
# CoHgPb2

A relaxed CoHgPb2 crystal (PBE-GGA, Alexandria via LeMat-Bulk).

The structure in POSCAR format:
```
CoHgPb2
1.0
-1.594 2.226 6.770
1.594 -2.226 6.770
1.594 2.226 -6.770
Co Hg Pb
1 1 2
direct
0.000 0.000 0.000
0.821 0.321 0.500
0.181 0.681 0.500
0.493 0.493 0.000
```

* electronic total energy: -3.396 eV/atom
* size of the total moment: 0.9 μB per formula unit

# 9
# GdIn2Cu

A relaxed GdIn2Cu crystal (PBE-GGA, Alexandria via LeMat-Bulk).

The structure in POSCAR format:
```
GdIn2Cu
1.0
4.454 0.000 0.000
0.000 4.454 0.000
0.000 0.000 4.579
Gd In Cu
1 2 1
direct
0.000 0.000 0.000
0.000 0.500 0.500
0.500 0.000 0.500
0.500 0.500 0.000
```

* E above lowest polymorph: 0 meV/atom
* electronic total energy: -6.145 eV/atom
* size of the total moment: 7.4 μB per formula unit

# 10
# BaLiAcSb

A relaxed BaLiAcSb crystal (PBE-GGA, Alexandria via LeMat-Bulk).

The structure in POSCAR format:
```
BaLiAcSb
1.0
0.000 4.109 4.109
4.109 0.000 4.109
4.109 4.109 0.000
Ba Li Ac Sb
1 1 1 1
direct
0.000 0.000 0.000
0.250 0.250 0.250
0.500 0.500 0.500
0.750 0.750 0.750
```

* formation energy from raw total energies: -0.434 eV/atom
* electronic total energy: -3.451 eV/atom
* size of the total moment: 0.0 μB per formula unit

# 11
# SiTc2Sb2

A relaxed SiTc2Sb2 crystal (PBE-GGA, Alexandria via LeMat-Bulk).

The structure in POSCAR format:
```
SiTc2Sb2
1.0
7.524 0.000 0.000
0.000 7.524 0.000
0.000 0.000 3.231
Si Tc Sb
2 4 4
direct
0.000 0.000 0.000
0.500 0.500 0.000
0.148 0.352 0.000
0.352 0.852 0.000
0.648 0.148 0.000
0.852 0.648 0.000
0.149 0.649 0.500
0.351 0.149 0.500
0.649 0.851 0.500
0.851 0.351 0.500
```

* formation energy from raw total energies: 0.333 eV/atom
* electronic total energy: -6.547 eV/atom
* size of the total moment: 0.0 μB per formula unit